DFT (PBE) results for a relaxed structure of InHgPb2.

a = 11.738 Å, b = 11.738 Å, c = 11.738 Å
α = 16.68°, β = 16.68°, γ = 16.68°
Fractional positions:
In  0.000  0.000  0.000
Hg  0.260  0.260  0.260
Pb  0.512  0.512  0.512
Pb  0.752  0.752  0.752

- Total moment: 0.00 μB/atom
- E_form: 0.02 eV per formula unit
- Raw total energy: -0.192 Ry/atom
- ΔE to the lowest computed polymorph: 0.000 eV/atom
- Calculated density: 10.432 g cm⁻³